Er2TiSi2Rh5, relaxed, DFT GGA-PBE; space group = P4/mbm; spin magnetization = 0.00 μB per formula unit; energy relative to the elements, uncorrected = -0.9730 eV/atom; crystal system = tetragonal
1.0
-3.147 0.803 1.333
-3.942 -7.293 -4.915
1.645 -5.903 7.439
Er Ti Si Rh
4 2 4 10
Cartesian
-2.371 -5.943 -2.019
0.074 -7.253 4.542
-0.150 -3.193 1.569
-2.147 -10.003 0.954
0.000 0.000 0.000
-1.148 -6.598 1.262
0.538 -4.586 4.032
-2.835 -8.610 -1.508
-1.018 -9.722 3.451
-1.279 -3.474 -0.928
-2.287 -1.533 0.146
-3.157 -10.860 3.710
-0.544 -4.765 6.208
-3.662 -7.321 0.387
-4.900 -7.629 -2.352
-1.783 -5.073 3.469
-2.648 -7.935 3.151
-2.796 -4.458 0.706
-3.545 -3.245 -1.791
-0.751 -2.550 4.386